Here is a relaxed K3Ho3PaS8 crystal from the Alexandria database. Energies are from GGA-PBE.

Calculated values
Magnetic moment = 1.04 μB per cell
Uncorrected formation energy = -1.834 eV/atom

a b c (Å): 8.8024 8.8024 8.8024
angles (deg): 54.43 54.43 54.43
Closest atoms and distances in Å follow each position.
Positions (direct):
K (0.0000, 0.5000, 0.5000)  6 S 3.24-3.25
K (0.5000, 0.0000, 0.5000)  6 S 3.24-3.25
K (0.5000, 0.5000, 0.0000)  6 S 3.24-3.25
Ho (0.0000, 0.0000, 0.5000)  6 S 2.75-2.76
Ho (0.0000, 0.5000, 0.0000)  6 S 2.75-2.76
Ho (0.5000, 0.0000, 0.0000)  6 S 2.75-2.76
Pa (0.5000, 0.5000, 0.5000)  6 S 2.74
S (0.2330, 0.2330, 0.2330)  3 Ho 2.76
S (0.2338, 0.7311, 0.7311)  1 Pa 2.74, 2 Ho 2.75
S (0.2689, 0.2689, 0.7662)  1 Pa 2.74, 2 Ho 2.75
S (0.2689, 0.7662, 0.2689)  1 Pa 2.74, 2 Ho 2.75
S (0.7311, 0.2338, 0.7311)  1 Pa 2.74, 2 Ho 2.75
S (0.7311, 0.7311, 0.2338)  1 Pa 2.74, 2 Ho 2.75
S (0.7662, 0.2689, 0.2689)  1 Pa 2.74, 2 Ho 2.75
S (0.7670, 0.7670, 0.7670)  3 Ho 2.76